The following is a PBE+U calculation of an optimized crystal structure of ScCoO2, from the Alexandria database.

Cell: 6.0358 6.0358 6.0358 Å, 30.84 30.84 30.84°
Last column: nearest neighbours and their distance in Å.
Element x y z (fractional)
Sc: 0.5000 0.5000 0.5000  6 O 2.12
Co: 0.0000 0.0000 0.0000  2 O 1.85
O: 0.8929 0.8929 0.8929  1 Co 1.85
O: 0.1071 0.1071 0.1071  1 Co 1.85

Computed properties:
* ΔE to the lowest computed polymorph: 0.0 meV per atom
* symmetry: R-3m (166)
* raw total energy: -0.27964 Ha/atom
* crystal system: trigonal